--- 1 ---
First-principles (GGA-PBE) data for crystalline CoTc2Mo at its relaxed geometry, as listed in Alexandria via LeMat-Bulk.

```
CoTc2Mo
1.0
3.793 0.000 0.000
0.000 3.793 0.000
0.000 0.000 3.846
Mo Co Tc
1 1 2
Cartesian
0.000 1.896 1.923
1.897 0.000 1.923
0.000 0.000 0.000
1.897 1.896 0.000
```

SG = P4/mmm, No. 123
total magnetization = 0.00 μB per atom


--- 2 ---
First-principles (GGA-PBE) data for crystalline CoTc2Mo at its relaxed geometry, as listed in Alexandria via LeMat-Bulk.

```
CoTc2Mo
1.0
4.656 -0.237 -0.403
1.829 4.288 0.403
-3.029 -2.367 2.668
Co Mo Tc
1 1 2
Cartesian
2.435 -0.289 1.133
1.021 1.973 1.535
3.242 2.026 0.000
6.484 4.051 0.000
```

SG = I4/mmm, No. 139
total magnetization = 0.00 μB per atom


--- 3 ---
First-principles (GGA-PBE) data for crystalline CoTc2Mo at its relaxed geometry, as listed in Alexandria via LeMat-Bulk.

```
CoTc2Mo
1.0
8.971 0.010 0.006
8.558 2.692 0.006
8.558 1.319 2.346
Mo Tc Co
1 2 1
Cartesian
19.673 3.032 1.778
6.473 0.998 0.585
26.004 4.008 2.351
13.067 2.014 1.181
```

SG = R3m, No. 160
total magnetization = 0.18 μB per atom


It is 1 that is most stable; the runner-up trails by 63 meV per atom.


--- 1 ---
First-principles (GGA-PBE) data for crystalline CoTc2Mo at its relaxed geometry, as listed in Alexandria via LeMat-Bulk.

```
CoTc2Mo
1.0
0.000 3.051 3.051
3.051 0.000 3.051
3.051 3.051 0.000
Tc Mo Co
2 1 1
Cartesian
1.525 1.525 1.525
4.576 4.576 4.576
3.051 3.051 3.051
0.000 0.000 0.000
```

SG = Fm-3m, No. 225
total magnetization = 0.59 μB per atom


--- 2 ---
First-principles (GGA-PBE) data for crystalline CoTc2Mo at its relaxed geometry, as listed in Alexandria via LeMat-Bulk.

```
CoTc2Mo
1.0
-0.326 2.136 1.619
-0.301 -1.650 2.116
7.513 0.212 1.233
Co Mo Tc
1 1 2
Cartesian
3.727 0.105 0.612
5.194 0.399 2.771
1.656 0.299 2.191
0.065 0.002 0.011
```

SG = P4mm, No. 99
total magnetization = 0.01 μB per atom


It is 2 that is most stable; the runner-up trails by 85 meV per atom.


--- 1 ---
First-principles (GGA-PBE) data for crystalline CoTc2Mo at its relaxed geometry, as listed in Alexandria via LeMat-Bulk.

```
CoTc2Mo
1.0
-0.577 -3.051 0.554
-0.004 -0.563 -3.103
5.542 -1.016 0.176
Tc Co Mo
2 1 1
Cartesian
1.165 -2.074 -1.228
0.035 -0.006 0.001
2.879 -0.528 0.092
3.653 -2.529 -1.149
```

SG = P4mm, No. 99
total magnetization = 0.00 μB per atom


--- 2 ---
First-principles (GGA-PBE) data for crystalline CoTc2Mo at its relaxed geometry, as listed in Alexandria via LeMat-Bulk.

```
CoTc2Mo
1.0
8.990 0.004 0.002
8.580 2.684 0.002
8.580 1.313 2.341
Mo Tc Co
1 2 1
Cartesian
19.613 3.001 1.759
26.010 3.979 2.333
13.216 2.022 1.186
6.538 1.000 0.586
```

SG = R-3m, No. 166
total magnetization = 0.22 μB per atom


--- 3 ---
First-principles (GGA-PBE) data for crystalline CoTc2Mo at its relaxed geometry, as listed in Alexandria via LeMat-Bulk.

```
CoTc2Mo
1.0
2.723 0.000 0.000
0.000 3.778 0.000
0.000 0.000 5.420
Mo Co Tc
1 1 2
Cartesian
1.361 1.889 3.982
0.000 0.000 2.707
1.361 1.889 1.383
0.000 0.000 0.059
```

SG = Pmm2, No. 25
total magnetization = 0.00 μB per atom


It is 3 that is most stable; the runner-up trails by 30 meV per atom.


--- 1 ---
First-principles (GGA-PBE) data for crystalline CoTc2Mo2 at its relaxed geometry, as listed in Alexandria via LeMat-Bulk.

```
CoTc2Mo2
1.0
-6.376 1.991 -2.731
1.330 -3.882 -5.936
-1.288 -2.384 1.270
Tc Mo Co
4 4 2
Cartesian
-0.427 -1.108 -2.514
-4.618 -0.782 -6.153
-1.142 -2.618 -6.073
-3.903 0.728 -2.594
-2.598 -1.137 -1.244
-5.546 -0.838 -3.676
-0.787 -3.435 -3.721
-3.736 -3.137 -6.153
-2.523 -0.945 -4.334
0.000 0.000 0.000
```

SG = P4/mbm, No. 127
total magnetization = 0.32 μB per atom


--- 2 ---
First-principles (GGA-PBE) data for crystalline CoTc2Mo2 at its relaxed geometry, as listed in Alexandria via LeMat-Bulk.

```
CoTc2Mo2
1.0
4.147 0.000 0.000
0.000 4.147 0.000
2.074 2.074 5.217
Mo Tc Co
2 2 1
Cartesian
2.074 4.147 2.609
4.147 2.074 2.609
2.074 2.074 1.217
4.147 4.147 4.000
0.000 0.000 0.000
```

SG = I4/mmm, No. 139
total magnetization = 0.42 μB per atom


It is 1 that is most stable; the runner-up trails by 416 meV per atom.


--- 1 ---
First-principles (GGA-PBE) data for crystalline CoTe2Mo at its relaxed geometry, as listed in Alexandria via LeMat-Bulk.

```
CoTe2Mo
1.0
5.620 0.002 0.000
2.871 4.832 0.000
-4.246 -2.417 2.779
Te Mo Co
2 1 1
Cartesian
1.436 2.416 1.389
0.000 0.000 0.000
2.810 0.001 1.389
4.246 2.417 0.000
```

SG = I-4m2, No. 119
total magnetization = 0.46 μB per atom


--- 2 ---
First-principles (GGA-PBE) data for crystalline CoTe2Mo at its relaxed geometry, as listed in Alexandria via LeMat-Bulk.

```
CoTe2Mo
1.0
8.856 -0.002 -0.001
8.192 3.364 -0.001
8.192 1.616 2.951
Mo Co Te
1 1 2
Cartesian
12.620 2.489 1.474
0.000 0.000 0.000
2.370 0.467 0.277
22.870 4.510 2.671
```

SG = R-3m, No. 166
total magnetization = 0.30 μB per atom


--- 3 ---
First-principles (GGA-PBE) data for crystalline CoTe2Mo at its relaxed geometry, as listed in Alexandria via LeMat-Bulk.

```
CoTe2Mo
1.0
5.937 0.000 0.000
0.000 5.937 0.000
2.969 2.969 5.735
Mo Te Co
2 4 2
Cartesian
5.937 2.969 2.868
0.000 0.000 0.000
1.632 4.453 1.434
7.422 7.274 4.301
4.453 4.601 4.301
4.306 1.484 1.434
2.969 2.969 0.000
2.969 5.937 2.868
```

SG = I-42d, No. 122
total magnetization = 0.00 μB per atom


It is 2 that is most stable; the runner-up trails by 52 meV per atom.


--- 1 ---
First-principles (GGA-PBE) data for crystalline CoTeMo at its relaxed geometry, as listed in Alexandria via LeMat-Bulk.

```
CoTeMo
1.0
3.768 0.000 0.000
0.000 4.849 0.000
0.000 0.000 5.926
Co Mo Te
2 2 2
Cartesian
0.000 2.424 1.492
1.884 0.000 4.434
1.884 2.424 2.981
0.000 0.000 2.944
0.000 0.000 0.287
1.884 2.424 5.638
```

SG = Pmmn, No. 59
total magnetization = 0.00 μB per atom


--- 2 ---
First-principles (GGA-PBE) data for crystalline CoTeMo at its relaxed geometry, as listed in Alexandria via LeMat-Bulk.

```
CoTeMo
1.0
5.101 -0.053 0.059
4.088 3.052 0.050
1.013 0.340 3.086
Co Te Mo
1 1 1
Cartesian
9.173 2.994 0.115
6.435 2.103 1.112
3.784 1.241 2.077
```

SG = I4mm, No. 107
total magnetization = 0.42 μB per atom


It is 2 that is most stable; the runner-up trails by 8 meV per atom.